Entry 1:
Pu3ZnRu4 after structural relaxation, computed with PBE.

Results
Calculated volume in Å³/atom: 17.806

Geometry as extended XYZ:
```
8
Lattice="0.811 1.005 -4.348 3.076 -3.328 -0.195 -6.874 -3.289 0.319" Properties=species:S:1:pos:R:3 pbc="T T T"
Ru -3.796 -3.426 -1.504
Ru 0.808 -2.185 -2.721
Ru -1.136 -1.022 -0.449
Ru -1.851 -4.589 -3.776
Zn 0.406 0.503 -2.174
Pu 1.538 -1.664 -0.098
Pu -1.922 -1.598 -3.096
Pu -1.066 -4.013 -1.129
```


Entry 2:
Th3AsC2 after structural relaxation, computed with PBE.

Results
Calculated volume in Å³/atom: 22.449
Distance to the lowest polymorph of the same formula in meV per atom: 0.0

Geometry as extended XYZ:
```
12
Lattice="4.082 0.000 0.000 -2.041 6.590 0.000 0.000 0.000 10.015" Properties=species:S:1:pos:R:3 pbc="T T T"
Th 2.041 1.624 0.635
Th 0.000 0.919 7.511
Th 2.041 1.624 4.372
Th 2.041 5.671 2.504
Th 0.000 4.966 9.380
Th 0.000 4.966 5.642
As 0.000 3.270 2.504
As 2.041 3.320 7.511
C 0.000 0.000 0.000
C 0.000 0.000 5.007
C 2.041 0.303 2.504
C 0.000 6.287 7.511
```


Entry 3:
SrNiIr2 after structural relaxation, computed with PBE.

Results
Calculated volume in Å³/atom: 16.644
Distance to the lowest polymorph of the same formula in meV per atom: 402.7

Geometry as extended XYZ:
```
4
Lattice="-2.988 -7.190 -5.235 -0.256 -7.075 -6.157 -0.910 -8.547 -3.763" Properties=species:S:1:pos:R:3 pbc="T T T"
Ir -4.100 -22.513 -14.956
Ir -2.132 -11.706 -7.777
Ni -1.039 -5.703 -3.789
Sr -3.116 -17.109 -11.366
```


In the order shown, the computed calculated formation energy values come out to -0.1401 -0.5416 0.6012 eV/atom.